This record from Alexandria via LeMat-Bulk describes Cs2Sr2Cu after structural relaxation. The functional is PBE.

a b c (Å): 8.5300 8.5300 8.0130
angles (deg): 90.00 90.00 90.00
Atoms (fractional coordinates):
Cs 0.1844 0.6844 0.5000
Cs 0.6844 0.8156 0.5000
Cs 0.8156 0.3156 0.5000
Cs 0.3156 0.1844 0.5000
Sr 0.3196 0.8196 0.0000
Sr 0.8196 0.6804 0.0000
Sr 0.6804 0.1804 0.0000
Sr 0.1804 0.3196 0.0000
Cu 0.0000 0.0000 0.0000
Cu 0.5000 0.5000 0.0000

Calculated values
The formation energy is 0.25 eV/atom. The space group is No. 127. The value obtained for the total magnetization is 0.00 μB/cell.



This record from Alexandria via LeMat-Bulk describes CsSrCu2 after structural relaxation. The functional is PBE.

a b c (Å): 5.6730 5.6730 5.6730
angles (deg): 60.00 60.00 60.00
Atoms (fractional coordinates):
Cs 0.5000 0.5000 0.5000
Sr 0.0000 0.0000 0.0000
Cu 0.2500 0.2500 0.2500
Cu 0.7500 0.7500 0.7500

Calculated values
The energy above the most stable polymorph in this dataset comes out at 0.000 eV per atom. The formation energy is 0.40 eV/atom. The space group is No. 225. The value obtained for the total magnetization is 0.00 μB/cell.



This record from Alexandria via LeMat-Bulk describes CsSrCu3 after structural relaxation. The functional is PBE.

a b c (Å): 5.7043 5.7043 5.7043
angles (deg): 90.00 90.00 90.00
Atoms (fractional coordinates):
Cs 0.0000 0.0000 0.0000
Sr 0.5000 0.5000 0.5000
Cu 0.0000 0.5000 0.0000
Cu 0.0000 0.0000 0.5000
Cu 0.5000 0.0000 0.0000

Calculated values
The energy above the most stable polymorph in this dataset comes out at 0.461 eV per atom. The formation energy is 1.12 eV/atom. The space group is No. 221. The value obtained for the total magnetization is 0.00 μB/cell.



This record from Alexandria via LeMat-Bulk describes CsSrCu2 after structural relaxation. The functional is PBE.

a b c (Å): 8.7175 8.7175 7.3825
angles (deg): 53.81 53.81 90.00
Atoms (fractional coordinates):
Cs 0.0000 0.0000 0.0000
Cs 0.7500 0.2500 0.5000
Sr 0.5000 0.5000 0.0000
Sr 0.2500 0.7500 0.5000
Cu 0.5910 0.1250 0.2500
Cu 0.1590 0.6250 0.2500
Cu 0.3750 0.4090 0.7500
Cu 0.8750 0.8410 0.7500

Calculated values
The energy above the most stable polymorph in this dataset comes out at 0.101 eV per atom. The formation energy is 0.50 eV/atom. The space group is No. 122. The value obtained for the total magnetization is 0.00 μB/cell.



This record from Alexandria via LeMat-Bulk describes CsSr3Cu after structural relaxation. The functional is PBE.

a b c (Å): 6.3366 6.3366 6.3366
angles (deg): 90.00 90.00 90.00
Atoms (fractional coordinates):
Cs 0.5000 0.5000 0.5000
Sr 0.0000 0.5000 0.0000
Sr 0.0000 0.0000 0.5000
Sr 0.5000 0.0000 0.0000
Cu 0.0000 0.0000 0.0000

Calculated values
The energy above the most stable polymorph in this dataset comes out at 0.000 eV per atom. The formation energy is 0.07 eV/atom. The space group is No. 221. The value obtained for the total magnetization is 0.00 μB/cell.



This record from Alexandria via LeMat-Bulk describes CsSr2Cu after structural relaxation. The functional is PBE.

a b c (Å): 9.4060 9.4060 9.2744
angles (deg): 59.53 59.53 90.00
Atoms (fractional coordinates):
Cs 0.0000 0.0000 0.0000
Cs 0.7500 0.2500 0.5000
Sr 0.4060 0.1250 0.2500
Sr 0.3440 0.6250 0.2500
Sr 0.3750 0.5940 0.7500
Sr 0.8750 0.6560 0.7500
Cu 0.5000 0.5000 0.0000
Cu 0.2500 0.7500 0.5000

Calculated values
The energy above the most stable polymorph in this dataset comes out at 0.193 eV per atom. The formation energy is 0.29 eV/atom. The space group is No. 122. The value obtained for the total magnetization is 0.00 μB/cell.



This record from Alexandria via LeMat-Bulk describes CsSr3Cu after structural relaxation. The functional is PBE.

a b c (Å): 6.5810 6.5810 6.5810
angles (deg): 90.00 90.00 90.00
Atoms (fractional coordinates):
Cs 0.0000 0.0000 0.0000
Sr 0.0000 0.5000 0.0000
Sr 0.0000 0.0000 0.5000
Sr 0.5000 0.0000 0.0000
Cu 0.5000 0.5000 0.5000

Calculated values
The energy above the most stable polymorph in this dataset comes out at 1.203 eV per atom. The formation energy is 1.27 eV/atom. The space group is No. 221. The value obtained for the total magnetization is 3.93 μB/cell.



This record from Alexandria via LeMat-Bulk describes CsSr2Cu after structural relaxation. The functional is PBE.

a b c (Å): 6.0947 6.0947 6.0947
angles (deg): 60.00 60.00 60.00
Atoms (fractional coordinates):
Cs 0.5000 0.5000 0.5000
Sr 0.2500 0.2500 0.2500
Sr 0.7500 0.7500 0.7500
Cu 0.0000 0.0000 0.0000

Calculated values
The energy above the most stable polymorph in this dataset comes out at 0.315 eV per atom. The formation energy is 0.41 eV/atom. The space group is No. 225. The value obtained for the total magnetization is 0.00 μB/cell.



This record from Alexandria via LeMat-Bulk describes CsSrCuTe2 after structural relaxation. The functional is PBE.

a b c (Å): 5.8607 8.6222 9.8636
angles (deg): 115.92 90.00 90.00
Atoms (fractional coordinates):
Cs 0.2483 0.7500 0.5000
Cs 0.7517 0.2500 0.5000
Sr 0.5000 0.7500 0.0000
Sr 0.5000 0.2500 0.0000
Cu 0.0000 0.0000 0.0000
Cu 0.0000 0.5000 0.0000
Te 0.7525 0.8885 0.7770
Te 0.7525 0.6115 0.2230
Te 0.2475 0.3885 0.7770
Te 0.2475 0.1115 0.2230

Calculated values
The value obtained for the raw formation energy is -4.70 eV per formula unit. The space group is No. 67. The value obtained for the total magnetization is 0.00 μB/cell.



This record from Alexandria via LeMat-Bulk describes CsSr2CuTe after structural relaxation. The functional is PBE.

a b c (Å): 5.9688 5.7350 5.9688
angles (deg): 90.00 90.00 90.00
Atoms (fractional coordinates):
Cs 0.5000 0.5000 0.5000
Sr 0.0000 0.0000 0.5000
Sr 0.5000 0.0000 0.0000
Te 0.0000 0.5000 0.0000
Cu 0.0000 0.0000 0.0000

Calculated values
The value obtained for the raw formation energy is -0.92 eV per formula unit. The space group is No. 123. The value obtained for the total magnetization is 0.00 μB/cell.



This record from Alexandria via LeMat-Bulk describes Cs2SrYCu after structural relaxation. The functional is PBE.

a b c (Å): 7.1188 6.2114 7.1188
angles (deg): 90.00 90.00 90.00
Atoms (fractional coordinates):
Cs 0.0000 0.0000 0.5000
Cs 0.5000 0.0000 0.0000
Y 0.0000 0.5000 0.0000
Cu 0.5000 0.5000 0.5000
Sr 0.0000 0.0000 0.0000

Calculated values
The formation energy is 1.26 eV/atom. The space group is No. 123. The value obtained for the total magnetization is 3.77 μB/cell.



This record from Alexandria via LeMat-Bulk describes Cs2TaCu after structural relaxation. The functional is PBE.

a b c (Å): 6.2309 6.2309 6.2309
angles (deg): 60.00 60.00 60.00
Atoms (fractional coordinates):
Cs 0.2500 0.2500 0.2500
Cs 0.7500 0.7500 0.7500
Cu 0.0000 0.0000 0.0000
Ta 0.5000 0.5000 0.5000

Calculated values
The energy above the most stable polymorph in this dataset comes out at 0.373 eV per atom. The formation energy is 1.75 eV/atom. The space group is No. 225. The value obtained for the total magnetization is 4.03 μB/cell.



This record from Alexandria via LeMat-Bulk describes Cs2TaCu after structural relaxation. The functional is PBE.

a b c (Å): 9.8234 9.8234 9.8234
angles (deg): 93.83 93.83 150.05
Atoms (fractional coordinates):
Cs 0.6960 0.3750 0.8210
Cs 0.5540 0.8750 0.1790
Cs 0.1250 0.3040 0.6790
Cs 0.6250 0.4460 0.3210
Ta 0.0000 0.0000 0.0000
Ta 0.2500 0.7500 0.5000
Cu 0.5000 0.5000 0.0000
Cu 0.7500 0.2500 0.5000

Calculated values
The energy above the most stable polymorph in this dataset comes out at 0.000 eV per atom. The formation energy is 1.37 eV/atom. The space group is No. 122. The value obtained for the total magnetization is 8.27 μB/cell.



This record from Alexandria via LeMat-Bulk describes Cs3TaCu after structural relaxation. The functional is PBE.

a b c (Å): 6.6440 6.6440 6.6440
angles (deg): 90.00 90.00 90.00
Atoms (fractional coordinates):
Cs 0.0000 0.5000 0.0000
Cs 0.0000 0.0000 0.5000
Cs 0.5000 0.0000 0.0000
Cu 0.0000 0.0000 0.0000
Ta 0.5000 0.5000 0.5000

Calculated values
The energy above the most stable polymorph in this dataset comes out at 0.000 eV per atom. The formation energy is 1.42 eV/atom. The space group is No. 221. The value obtained for the total magnetization is 5.00 μB/cell.



This record from Alexandria via LeMat-Bulk describes CsTaCu2 after structural relaxation. The functional is PBE.

a b c (Å): 4.9936 4.9936 4.9936
angles (deg): 60.00 60.00 60.00
Atoms (fractional coordinates):
Cs 0.0000 0.0000 0.0000
Cu 0.2500 0.2500 0.2500
Cu 0.7500 0.7500 0.7500
Ta 0.5000 0.5000 0.5000

Calculated values
The formation energy is 1.59 eV/atom. The space group is No. 225. The value obtained for the total magnetization is 2.03 μB/cell.



This record from Alexandria via LeMat-Bulk describes CsTaCu2Te4 after structural relaxation. The functional is PBE.

a b c (Å): 6.0563 8.3564 21.4457
angles (deg): 90.00 90.00 90.00
Atoms (fractional coordinates):
Cs 0.0168 0.7315 0.4372
Cs 0.5168 0.2685 0.5628
Cs 0.5168 0.7685 0.9372
Cs 0.0168 0.2315 0.0628
Ta 0.2592 0.7300 0.1499
Ta 0.7592 0.2700 0.8501
Ta 0.7592 0.7700 0.6499
Ta 0.2592 0.2300 0.3501
Cu 0.2664 0.9807 0.2498
Cu 0.7664 0.0193 0.7502
Cu 0.7664 0.5193 0.7498
Cu 0.2664 0.4807 0.2502
Cu 0.2588 0.7703 0.6500
Cu 0.7588 0.2297 0.3500
Cu 0.7588 0.7297 0.1500
Cu 0.2588 0.2703 0.8500
Te 0.5118 0.9881 0.1488
Te 0.0118 0.0119 0.8512
Te 0.0118 0.5119 0.6488
Te 0.5118 0.4881 0.3512
Te 0.5115 0.9720 0.3504
Te 0.0115 0.0280 0.6496
Te 0.0115 0.5280 0.8504
Te 0.5115 0.4720 0.1496
Te 0.0025 0.7307 0.2512
Te 0.5025 0.2693 0.7488
Te 0.5025 0.7693 0.7512
Te 0.0025 0.2307 0.2488
Te 0.0084 0.7275 0.0497
Te 0.5084 0.2725 0.9503
Te 0.5084 0.7725 0.5497
Te 0.0084 0.2275 0.4503

Calculated values
The value obtained for the raw formation energy is -3.86 eV per formula unit. The space group is No. 33. The value obtained for the total magnetization is 0.00 μB/cell.



This record from Alexandria via LeMat-Bulk describes CsTa3Cu4Te12 after structural relaxation. The functional is PBE.

a b c (Å): 9.5249 9.5249 9.5249
angles (deg): 109.22 109.22 109.22
Atoms (fractional coordinates):
Cs 0.0000 0.0000 0.0000
Ta 0.5428 0.4572 0.0000
Ta 0.4572 0.0000 0.5428
Ta 0.0000 0.5428 0.4572
Cu 0.9526 0.0474 0.5000
Cu 0.0474 0.5000 0.9526
Cu 0.5000 0.9526 0.0474
Cu 0.5000 0.5000 0.5000
Te 0.5000 0.3358 0.6642
Te 0.8842 0.5000 0.1158
Te 0.1158 0.8842 0.5000
Te 0.5000 0.1158 0.8842
Te 0.3610 0.9479 0.2313
Te 0.2313 0.3610 0.9479
Te 0.9479 0.2313 0.3610
Te 0.6390 0.7687 0.0521
Te 0.0521 0.6390 0.7687
Te 0.7687 0.0521 0.6390
Te 0.6642 0.5000 0.3358
Te 0.3358 0.6642 0.5000

Calculated values
The value obtained for the raw formation energy is -1.32 eV per formula unit. The space group is No. 155. The value obtained for the total magnetization is 0.00 μB/cell.



This record from Alexandria via LeMat-Bulk describes CsTbCuTe2 after structural relaxation. The functional is PBE.

a b c (Å): 4.5499 9.1152 8.9064
angles (deg): 95.00 90.00 90.00
Atoms (fractional coordinates):
Cs 0.1214 0.5000 0.7500
Cs 0.8786 0.5000 0.2500
Tb 0.4963 0.0000 0.2500
Tb 0.5037 0.0000 0.7500
Cu 0.0000 0.0000 0.0000
Cu 0.0000 0.0000 0.5000
Te 0.6448 0.7803 0.9812
Te 0.6448 0.2197 0.5188
Te 0.3552 0.7803 0.4812
Te 0.3552 0.2197 0.0188

Calculated values
The value obtained for the raw formation energy is -3.85 eV per formula unit. The space group is No. 13. The value obtained for the total magnetization is 0.00 μB/cell.



This record from Alexandria via LeMat-Bulk describes Cs2TbCu2Te4 after structural relaxation. The functional is PBE.

a b c (Å): 4.3377 9.1274 8.3789
angles (deg): 106.95 105.00 90.00
Atoms (fractional coordinates):
Cs 0.1341 0.5525 0.2682
Cs 0.8659 0.4475 0.7318
Tb 0.0000 0.0000 0.0000
Cu 0.6799 0.9849 0.3597
Cu 0.3201 0.0151 0.6403
Te 0.1998 0.1621 0.3997
Te 0.8002 0.8379 0.6003
Te 0.5239 0.7766 0.0479
Te 0.4761 0.2234 0.9521

Calculated values
The value obtained for the raw formation energy is -7.61 eV per formula unit. The space group is No. 12. The value obtained for the total magnetization is 0.00 μB/cell.



This record from Alexandria via LeMat-Bulk describes CsCu2Tc after structural relaxation. The functional is PBE.

a b c (Å): 7.5496 7.5496 6.8120
angles (deg): 56.35 56.35 90.00
Atoms (fractional coordinates):
Cs 0.0000 0.0000 0.0000
Cs 0.7500 0.2500 0.5000
Tc 0.5000 0.5000 0.0000
Tc 0.2500 0.7500 0.5000
Cu 0.4918 0.1250 0.2500
Cu 0.2582 0.6250 0.2500
Cu 0.3750 0.5082 0.7500
Cu 0.8750 0.7418 0.7500

Calculated values
The energy above the most stable polymorph in this dataset comes out at 0.000 eV per atom. The formation energy is 1.27 eV/atom. The space group is No. 122. The value obtained for the total magnetization is 0.00 μB/cell.



This record from Alexandria via LeMat-Bulk describes CsCu2Tc after structural relaxation. The functional is PBE.

a b c (Å): 4.9626 4.9626 4.9626
angles (deg): 60.00 60.00 60.00
Atoms (fractional coordinates):
Cs 0.5000 0.5000 0.5000
Tc 0.0000 0.0000 0.0000
Cu 0.2500 0.2500 0.2500
Cu 0.7500 0.7500 0.7500

Calculated values
The energy above the most stable polymorph in this dataset comes out at 0.282 eV per atom. The formation energy is 1.55 eV/atom. The space group is No. 225. The value obtained for the total magnetization is 2.89 μB/cell.



This record from Alexandria via LeMat-Bulk describes CsZnCu2Tc after structural relaxation. The functional is PBE.

a b c (Å): 4.9152 4.9152 5.8901
angles (deg): 90.00 90.00 90.00
Atoms (fractional coordinates):
Cs 0.0000 0.0000 0.5000
Zn 0.5000 0.5000 0.5000
Tc 0.0000 0.0000 0.0000
Cu 0.0000 0.5000 0.0000
Cu 0.5000 0.0000 0.0000

Calculated values
The formation energy is 1.34 eV/atom. The space group is No. 123. The value obtained for the total magnetization is 2.46 μB/cell.



This record from Alexandria via LeMat-Bulk describes CsCu4Te3 after structural relaxation. The functional is PBE.

a b c (Å): 4.2774 4.2774 11.1467
angles (deg): 90.00 90.00 90.00
Atoms (fractional coordinates):
Cs 0.0000 0.0000 0.5000
Cu 0.0000 0.5000 0.1500
Cu 0.0000 0.5000 0.8500
Cu 0.5000 0.0000 0.8500
Cu 0.5000 0.0000 0.1500
Te 0.0000 0.0000 0.0000
Te 0.5000 0.5000 0.2830
Te 0.5000 0.5000 0.7170

Calculated values
The value obtained for the raw formation energy is -2.05 eV per formula unit. The space group is No. 123. The value obtained for the total magnetization is 0.00 μB/cell.



This record from Alexandria via LeMat-Bulk describes CsCuTe2 after structural relaxation. The functional is PBE.

a b c (Å): 4.4077 4.4077 14.1683
angles (deg): 90.00 90.00 90.00
Atoms (fractional coordinates):
Cs 0.0000 0.5000 0.2644
Cs 0.5000 0.0000 0.7356
Cu 0.5000 0.5000 0.0000
Cu 0.0000 0.0000 0.0000
Te 0.5000 0.0000 0.1065
Te 0.0000 0.5000 0.8935
Te 0.0000 0.0000 0.5000
Te 0.5000 0.5000 0.5000

Calculated values
The value obtained for the raw formation energy is -1.95 eV per formula unit. The space group is No. 129. The value obtained for the total magnetization is 0.00 μB/cell.



This record from Alexandria via LeMat-Bulk describes Cs3CuTe after structural relaxation. The functional is PBE.

a b c (Å): 6.4495 6.4495 6.4495
angles (deg): 90.00 90.00 90.00
Atoms (fractional coordinates):
Cs 0.0000 0.5000 0.0000
Cs 0.0000 0.0000 0.5000
Cs 0.5000 0.0000 0.0000
Te 0.5000 0.5000 0.5000
Cu 0.0000 0.0000 0.0000

Calculated values
The value obtained for the raw formation energy is -1.20 eV per formula unit. The space group is No. 221. The value obtained for the total magnetization is 0.00 μB/cell.